[1]
Below is an optimized crystal structure of SiSbRh, with properties calculated at the PBE-GGA level.

Results
The value obtained for the volume is 18.6 Å³/atom.

Cell lengths 3.394, 3.394, 5.602 Å; angles 90.00, 90.00, 120.00 degrees
Positions (direct):
Si (0.000, 0.000, 0.000)
Sb (0.333, 0.667, 0.592)
Rh (0.667, 0.333, 0.242)


[2]
Below is an optimized crystal structure of SiSb3Rh, with properties calculated at the PBE-GGA level.

Results
The calculation puts the energy relative to the lowest polymorph listed for this composition at 336 meV per atom. The value obtained for the volume is 25.8 Å³/atom.

Cell lengths 5.054, 5.054, 5.054 Å; angles 90.00, 90.00, 90.00 degrees
Positions (direct):
Si (0.000, 0.000, 0.000)
Sb (0.000, 0.000, 0.500)
Sb (0.000, 0.500, 0.000)
Sb (0.500, 0.000, 0.000)
Rh (0.500, 0.500, 0.500)


[3]
Below is an optimized crystal structure of SiSb3Rh, with properties calculated at the PBE-GGA level.

Results
The calculation puts the energy relative to the lowest polymorph listed for this composition at 0 meV per atom. The value obtained for the volume is 27.1 Å³/atom.

Cell lengths 5.134, 5.134, 5.134 Å; angles 90.00, 90.00, 90.00 degrees
Positions (direct):
Si (0.000, 0.000, 0.000)
Sb (0.000, 0.500, 0.500)
Sb (0.500, 0.000, 0.500)
Sb (0.500, 0.500, 0.000)
Rh (0.500, 0.500, 0.500)


[4]
Below is an optimized crystal structure of SiSbRh, with properties calculated at the PBE-GGA level.

Results
The value obtained for the volume is 18.7 Å³/atom.

Cell lengths 6.475, 6.475, 2.997 Å; angles 103.03, 103.03, 27.37 degrees
Positions (direct):
Si (0.000, 0.000, 0.000)
Sb (0.290, 0.290, 0.796)
Rh (0.596, 0.596, 0.594)


Q: Which raw formation energy values were calculated for the entries above? A: -0.5; 4.7; 3.1; -0.6, in eV per formula unit.
Q: Which magnetization values were calculated for the entries above? A: 0.0; 0.0; 0.0; 0.0, in μB/f.u..